1.
ZrPaAs2N | PBE-GGA | relaxed

```
ZrPaAs2N
1.0
-3.729 0.162 0.976
-0.557 -3.490 -1.547
2.817 -5.634 11.693
Zr Pa As N
2 2 4 2
direct
0.500 0.000 0.098
0.000 0.500 0.902
0.500 0.000 0.592
0.000 0.500 0.408
0.000 0.500 0.700
0.000 0.500 0.115
0.500 0.000 0.885
0.500 0.000 0.300
0.000 0.000 0.500
0.500 0.500 0.500
```

SG: P4/nmm, No. 129
VASP energy: -0.6156 Ry/atom

2.
ZrPaAsN | PBE-GGA | relaxed

```
ZrPaAsN
1.0
4.027 0.000 0.000
0.000 4.027 0.000
0.000 0.000 9.092
Zr Pa As N
2 2 2 2
direct
0.000 0.000 0.500
0.500 0.500 0.500
0.000 0.500 0.874
0.500 0.000 0.126
0.500 0.000 0.715
0.000 0.500 0.285
0.500 0.500 0.000
0.000 0.000 0.000
```

SG: P4/nmm, No. 129
VASP energy: -0.6640 Ry/atom

3.
AsPbN3 | PBE-GGA | relaxed

```
AsPbN3
1.0
-1.692 -2.718 2.246
3.135 -2.301 -0.423
1.615 1.617 3.174
Pb As N
1 1 3
direct
0.500 0.500 0.500
0.000 0.000 0.000
0.000 0.500 0.000
0.000 0.000 0.500
0.500 0.000 0.000
```

SG: Pm-3m, No. 221
VASP energy: -0.3954 Ry/atom

4.
AsPbN3 | PBE-GGA | relaxed

```
AsPbN3
1.0
4.267 0.000 0.000
0.000 4.267 0.000
0.000 0.000 4.267
Pb As N
1 1 3
direct
0.000 0.000 0.000
0.500 0.500 0.500
0.000 0.500 0.000
0.000 0.000 0.500
0.500 0.000 0.000
```

SG: Pm-3m, No. 221
VASP energy: -0.3135 Ry/atom

5.
As2PbN | PBE-GGA | relaxed

```
As2PbN
1.0
-2.604 1.062 3.861
-3.620 3.099 -0.339
-4.507 -1.546 0.341
Pb As N
1 2 1
direct
0.500 0.500 0.500
0.250 0.250 0.250
0.750 0.750 0.750
0.000 0.000 0.000
```

excess energy over the best structure of this formula in the dataset: 727 meV/atom
SG: Fm-3m, No. 225

6.
AsPbN2 | PBE-GGA | relaxed

```
AsPbN2
1.0
0.197 -4.114 -1.153
-2.990 -2.745 1.348
-2.851 -1.585 -2.766
Pb As N
1 1 2
direct
0.500 0.500 0.500
0.000 0.000 0.000
0.250 0.250 0.250
0.750 0.750 0.750
```

excess energy over the best structure of this formula in the dataset: 915 meV/atom
SG: Fm-3m, No. 225

7.
AsPb3N | PBE-GGA | relaxed

```
AsPb3N
1.0
5.016 0.000 0.000
0.000 5.016 0.000
0.000 0.000 5.016
Pb As N
3 1 1
direct
0.000 0.500 0.000
0.000 0.000 0.500
0.500 0.000 0.000
0.500 0.500 0.500
0.000 0.000 0.000
```

excess energy over the best structure of this formula in the dataset: 0 meV/atom
SG: Pm-3m, No. 221

8.
AsPbN2 | PBE-GGA | relaxed

```
AsPbN2
1.0
-4.374 2.694 4.226
-1.229 3.147 5.729
-2.307 5.349 3.211
Pb As N
1 1 2
direct
0.500 0.500 0.500
0.000 0.000 0.000
0.900 0.900 0.900
0.100 0.100 0.100
```

excess energy over the best structure of this formula in the dataset: 298 meV/atom
SG: R-3m, No. 166

9.
As2PbN | PBE-GGA | relaxed

```
As2PbN
1.0
5.350 0.000 0.000
0.000 5.350 0.000
2.675 2.675 6.216
Pb As N
2 4 2
direct
0.000 0.000 0.000
0.750 0.250 0.500
0.487 0.125 0.250
0.263 0.625 0.250
0.375 0.513 0.750
0.875 0.737 0.750
0.500 0.500 0.000
0.250 0.750 0.500
```

excess energy over the best structure of this formula in the dataset: 0 meV/atom
SG: I-42d, No. 122

10.
AsPbN2 | PBE-GGA | relaxed

```
AsPbN2
1.0
-2.363 -5.921 3.608
-2.690 -6.781 0.664
0.055 -7.033 2.048
Pb As N
1 1 2
direct
0.000 0.000 0.000
0.500 0.500 0.500
0.881 0.881 0.881
0.119 0.119 0.119
```

excess energy over the best structure of this formula in the dataset: 0 meV/atom
SG: R-3m, No. 166

11.
AsPbN2 | PBE-GGA | relaxed

```
AsPbN2
1.0
-0.135 -5.599 -0.949
1.695 -0.946 5.338
-3.157 -3.386 3.424
Pb As N
2 2 4
direct
0.000 0.000 0.000
0.750 0.250 0.500
0.500 0.500 0.000
0.250 0.750 0.500
0.516 0.125 0.250
0.234 0.625 0.250
0.375 0.484 0.750
0.875 0.766 0.750
```

excess energy over the best structure of this formula in the dataset: 41 meV/atom
SG: I-42d, No. 122

12.
As2PtPbN | PBE-GGA | relaxed

```
As2PtPbN
1.0
5.512 0.000 0.000
0.000 5.151 0.000
0.000 0.000 5.512
Pb As Pt N
1 2 1 1
direct
0.000 0.000 0.000
0.000 0.000 0.500
0.500 0.000 0.000
0.000 0.500 0.000
0.500 0.500 0.500
```

SG: P4/mmm, No. 123
VASP energy: -0.2463 Ry/atom

For the records above, the corresponding calculated density values read 8.166, 9.263, 8.996, 6.927, 7.994, 9.309, 9.351, 7.599, 6.926, 8.796, 7.737, 6.006 Mg/m³.
For the records above, the corresponding calculated volume values read 19.77, 18.43, 11.97, 15.54, 19.27, 13.83, 25.24, 16.94, 22.24, 14.64, 16.64, 31.30 Å³ per atom.